Material: Mg2Fe2Ir
Method: DFT, SCAN
State: PBEsol geometry

Unit cell a=4.8542 b=4.8542 c=6.8995 alpha=90.00 beta=90.00 gamma=90.00
Closest atoms and distances in Å follow each position.
Space group I4/mmm (No. 139)
Symmetry-distinct sites (fractional):
Mg  0.0000  0.5000  0.2500 (multiplicity 4)  4 Fe 2.52
Fe  0.0000  0.0000  0.1503 (multiplicity 4)  1 Fe 2.07
Ir  0.0000  0.0000  0.5000 (multiplicity 2)  2 Fe 2.41

Values from the calculation:
The calculated density is 7.20 g/cm3. For the total magnetization, the calculation gives 5.9 μB per formula unit. As for the formation energy: 610 meV per atom. Its density of states at the Fermi level is 10.238 states/eV per cell. The calculation puts the energy at -22.85 eV per atom.